{"formula": "IrPbW", "functional": "GGA-PBE", "state": "relaxed", "lattice_angstrom": [[-3.666, 0.175, -2.486], [-3.043, -3.208, 0.310], [-3.921, 0.839, 1.890]], "species": ["Pb", "Ir", "W"], "fractional_positions": [[0.000, 0.000, 0.000], [0.750, 0.750, 0.750], [0.500, 0.500, 0.500]], "mass_density_g_cm3": 15.72, "formation_enthalpy_0k_ev_per_atom": 0.574}